Entry 1:
A plane-wave DFT calculation with PBE was carried out for an optimized crystal structure of Ti2ZnHIr.

## Properties
magnetization = 0.0 μB/f.u.
crystal system = tetragonal
volume = 12.40 Å³ per atom
energy above the lowest structure with this stoichiometry = 19 meV per atom

```
5
Lattice="3.9497 0.0000 0.0000 0.0000 3.9497 0.0000 0.0000 0.0000 3.9735" Properties=species:S:1:pos:R:3 pbc="T T T"
Ti 0.0000 1.9748 0.0000
Ti 1.9748 0.0000 0.0000
Zn 0.0000 0.0000 1.9868
H 0.0000 0.0000 0.0000
Ir 1.9748 1.9748 1.9868
```

Entry 2:
A plane-wave DFT calculation with PBE was carried out for an optimized crystal structure of PmUAsN2.

## Properties
magnetization = 0.0 μB/f.u.
crystal system = tetragonal
total energy = -87.8 eV for the cell shown
volume = 17.93 Å³ per atom

```
10
Lattice="3.8417 0.0000 0.0000 0.0000 3.8417 0.0000 0.0000 0.0000 12.1491" Properties=species:S:1:pos:R:3 pbc="T T T"
Pm 0.0000 0.0000 0.0000
Pm 1.9209 1.9209 6.0746
U 0.0000 0.0000 3.7220
U 1.9209 1.9209 9.7965
As 0.0000 0.0000 8.0344
As 1.9209 1.9209 1.9599
N 0.0000 1.9209 4.6824
N 0.0000 1.9209 10.7569
N 1.9209 0.0000 4.6824
N 1.9209 0.0000 10.7569
```

Entry 3:
A plane-wave DFT calculation with PBE was carried out for an optimized crystal structure of Ba2Ge3.

## Properties
magnetization = 0.0 μB/f.u.
crystal system = orthorhombic
volume = 32.79 Å³ per atom
energy above the lowest structure with this stoichiometry = 61 meV per atom

```
10
Lattice="4.1760 0.0000 0.0000 0.0000 9.5526 0.0000 0.0000 0.0000 8.2209" Properties=species:S:1:pos:R:3 pbc="T T T"
Ba 0.0000 2.2481 0.0000
Ba 0.0000 7.3045 0.0000
Ba 2.0880 2.5282 4.1105
Ba 2.0880 7.0244 4.1105
Ge 0.0000 0.0000 2.7245
Ge 0.0000 0.0000 5.2144
Ge 0.0000 4.7763 2.5200
Ge 2.0880 0.0000 6.6305
Ge 2.0880 4.7763 1.1039
Ge 2.0880 4.7763 6.8350
```

Entry 4:
A plane-wave DFT calculation with PBE was carried out for an optimized crystal structure of KHg3Sb.

## Properties
magnetization = 0.0 μB/f.u.
crystal system = orthorhombic
volume = 31.67 Å³ per atom
energy above the lowest structure with this stoichiometry = 0 meV per atom

```
10
Lattice="3.8456 -5.8518 0.0000 3.8456 5.8518 0.0000 0.0000 0.0000 7.0375" Properties=species:S:1:pos:R:3 pbc="T T T"
K 3.8456 3.1427 5.2781
K 3.8456 -3.1427 1.7594
Hg 3.8456 4.5746 1.7594
Hg 2.0660 0.0000 0.0000
Hg 2.0660 0.0000 3.5188
Hg 5.6252 0.0000 0.0000
Hg 5.6252 0.0000 3.5188
Hg 3.8456 -4.5746 5.2781
Sb 3.8456 1.6980 1.7594
Sb 3.8456 -1.6980 5.2781
```

Entry 5:
A plane-wave DFT calculation with PBE was carried out for an optimized crystal structure of BRhSN2.

## Properties
magnetization = 0.3 μB/f.u.
crystal system = tetragonal
volume = 14.49 Å³ per atom
energy above the lowest structure with this stoichiometry = 776 meV per atom

```
5
Lattice="3.7114 0.0000 0.0000 0.0000 3.7114 0.0000 0.0000 0.0000 5.2585" Properties=species:S:1:pos:R:3 pbc="T T T"
B 0.0000 0.0000 0.0000
Rh 1.8557 1.8557 2.6292
S 1.8557 1.8557 0.0000
N 0.0000 1.8557 2.6292
N 1.8557 0.0000 2.6292
```

Entry 6:
A plane-wave DFT calculation with PBE was carried out for an optimized crystal structure of Pr6YTm8.

## Properties
magnetization = 0.0 μB/f.u.
crystal system = trigonal
total energy = -69.0 eV for the cell shown
volume = 33.22 Å³ per atom

```
15
Lattice="4.5313 2.6161 7.0060 -4.5313 2.6161 7.0060 0.0000 -5.2323 7.0060" Properties=species:S:1:pos:R:3 pbc="T T T"
Pr -3.1280 -1.1408 9.5515
Pr -0.5761 -3.2793 11.4664
Pr -2.5519 2.1385 11.4664
Pr 2.5519 -2.1385 9.5515
Pr 0.5760 3.2793 9.5515
Pr 3.1280 1.1408 11.4664
Y 0.0000 0.0000 10.5090
Tm 0.0000 0.0000 1.6106
Tm -0.1790 -1.9848 7.5565
Tm -1.6294 1.1474 7.5565
Tm -1.8084 -0.8374 13.4615
Tm 1.8084 0.8374 7.5565
Tm 1.6294 -1.1474 13.4615
Tm 0.1790 1.9848 13.4615
Tm 0.0000 0.0000 19.4074
```

Entry 7:
A plane-wave DFT calculation with PBE was carried out for an optimized crystal structure of Tb2Ce2N3.

## Properties
magnetization = 2.6 μB/f.u.
crystal system = monoclinic
total energy = -107.1 eV for the cell shown
volume = 20.90 Å³ per atom

```
14
Lattice="12.4019 0.0000 0.0000 0.0000 3.6911 0.0000 -0.9702 0.0000 6.3916" Properties=species:S:1:pos:R:3 pbc="T T T"
Tb 0.9372 0.0000 2.3509
Tb 4.2935 1.8455 4.0407
Tb 7.1381 1.8455 2.3509
Tb 10.4944 0.0000 4.0407
Ce 0.9569 1.8455 5.4217
Ce 4.2738 0.0000 0.9699
Ce 7.1579 0.0000 5.4217
Ce 10.4747 1.8455 0.9699
N -0.4851 1.8455 3.1958
N 1.9739 0.0000 0.3624
N 3.2568 1.8455 6.0291
N 5.7158 0.0000 3.1958
N 8.1748 1.8455 0.3624
N 9.4578 0.0000 6.0291
```

Entry 8:
A plane-wave DFT calculation with PBE was carried out for an optimized crystal structure of YHoGaFe.

## Properties
magnetization = 1.4 μB/f.u.
crystal system = cubic
total energy = -93.2 eV for the cell shown
volume = 21.26 Å³ per atom

```
16
Lattice="6.9802 0.0000 0.0000 0.0000 6.9802 0.0000 0.0000 0.0000 6.9802" Properties=species:S:1:pos:R:3 pbc="T T T"
Y 0.0000 0.0000 0.0000
Y 0.0000 3.4901 3.4901
Y 3.4901 0.0000 3.4901
Y 3.4901 3.4901 0.0000
Ho 0.0000 0.0000 3.4901
Ho 0.0000 3.4901 0.0000
Ho 3.4901 0.0000 0.0000
Ho 3.4901 3.4901 3.4901
Ga 1.7450 1.7450 1.7450
Ga 1.7450 5.2351 5.2351
Ga 5.2351 1.7450 5.2351
Ga 5.2351 5.2351 1.7450
Fe 1.7450 1.7450 5.2351
Fe 1.7450 5.2351 1.7450
Fe 5.2351 1.7450 1.7450
Fe 5.2351 5.2351 5.2351
```

Entry 9:
A plane-wave DFT calculation with PBE was carried out for an optimized crystal structure of Li3Mo.

## Properties
magnetization = 0.0 μB/f.u.
crystal system = hexagonal
volume = 16.39 Å³ per atom
energy above the lowest structure with this stoichiometry = 27 meV per atom

```
4
Lattice="2.7350 0.0000 0.0000 -1.3675 2.3686 0.0000 0.0000 0.0000 10.1188" Properties=species:S:1:pos:R:3 pbc="T T T"
Li 0.0000 0.0000 0.0000
Li 0.0000 1.5791 2.6347
Li 0.0000 1.5791 7.4841
Mo 0.0000 0.0000 5.0594
```

Entry 10:
A plane-wave DFT calculation with PBE was carried out for an optimized crystal structure of Li2CuSiPb.

## Properties
magnetization = 0.0 μB/f.u.
crystal system = tetragonal
total energy = -15.2 eV for the cell shown
volume = 21.41 Å³ per atom

```
5
Lattice="4.6891 0.0000 0.0000 0.0000 4.6891 0.0000 0.0000 0.0000 4.8693" Properties=species:S:1:pos:R:3 pbc="T T T"
Li 0.0000 2.3446 0.0000
Li 2.3446 0.0000 0.0000
Cu 0.0000 0.0000 0.0000
Si 2.3446 2.3446 2.4347
Pb 0.0000 0.0000 2.4347
```

Entry 11:
A plane-wave DFT calculation with PBE was carried out for an optimized crystal structure of HgRh.

## Properties
magnetization = 0.0 μB/f.u.
crystal system = tetragonal
total energy = -28.5 eV for the cell shown
volume = 17.40 Å³ per atom

```
8
Lattice="4.1082 0.0000 0.0000 0.0000 4.1082 0.0000 0.0000 0.0000 8.2488" Properties=species:S:1:pos:R:3 pbc="T T T"
Hg 0.0000 1.0271 3.0933
Hg 0.0000 3.0812 5.1555
Hg 2.0541 1.0271 1.0311
Hg 2.0541 3.0812 7.2177
Rh 0.0000 1.0271 7.2177
Rh 0.0000 3.0812 1.0311
Rh 2.0541 1.0271 5.1555
Rh 2.0541 3.0812 3.0933
```

Entry 12:
A plane-wave DFT calculation with PBE was carried out for an optimized crystal structure of Bi2Pd8Au.

## Properties
magnetization = 0.0 μB/f.u.
crystal system = orthorhombic
volume = 17.84 Å³ per atom
energy above the lowest structure with this stoichiometry = 25 meV per atom

```
11
Lattice="-2.2280 6.4465 3.4152 2.2280 -6.4465 3.4152 2.2280 6.4465 -3.4152" Properties=species:S:1:pos:R:3 pbc="T T T"
Bi 0.0000 1.9460 0.0000
Bi 0.0000 10.9471 0.0000
Pd 2.2280 -2.0048 1.9832
Pd 0.0000 0.0000 1.9537
Pd 2.2280 4.5356 0.4165
Pd 2.2280 2.0048 1.9832
Pd 0.0000 3.9471 1.8923
Pd 0.0000 1.9109 3.8317
Pd 0.0000 8.9460 1.8923
Pd 0.0000 6.4465 3.3948
Au 0.0000 6.4465 0.5301
```